1.
! DyErGePt (PBE, relaxed); values from VASP
&SYSTEM
  ibrav = 0, nat = 4, ntyp = 4
/
ATOMIC_SPECIES
Dy 162.50 Dy.upf
Er 167.26 Er.upf
Ge 72.64 Ge.upf
Pt 195.08 Pt.upf
CELL_PARAMETERS angstrom
4.261 0.000 0.000
0.000 1.950 5.406
0.000 -1.950 5.406
ATOMIC_POSITIONS crystal
Dy 0.000 0.000 0.000
Er 0.500 0.280 0.280
Ge 0.000 0.722 0.722
Pt 0.500 0.555 0.555
! offset from the most stable computed form: 0.000 eV/atom
! calculated formation energy: -1.084 eV per atom
! space-group type: Amm2, No. 38

2.
! Zn2CrGaI (PBE, relaxed); values from VASP
&SYSTEM
  ibrav = 0, nat = 5, ntyp = 4
/
ATOMIC_SPECIES
Zn 65.41 Zn.upf
Cr 52.00 Cr.upf
Ga 69.72 Ga.upf
I 126.90 I.upf
CELL_PARAMETERS angstrom
6.113 0.000 0.000
0.000 6.113 0.000
0.000 0.000 5.126
ATOMIC_POSITIONS crystal
Zn 0.000 0.500 0.000
Zn 0.500 0.000 0.000
Cr 0.000 0.000 0.500
Ga 0.500 0.500 0.500
I 0.000 0.000 0.000
! E_form (uncorrected): 1.061 eV/atom
! space-group type: P4/mmm, No. 123

Number 1: E -24.2 eV per cell, total magnetization 0.00 μB/f.u.. Number 2: E -11.4 eV per cell, total magnetization 4.59 μB/f.u..